(1)
# LaTaN2O | the Open Quantum Materials Database | PBE | optimized geometry
data_LaTaN2O
_chemical_formula_sum 'La8 Ta8 N16 O8'
_symmetry_space_group_name_H-M 'P 1'
_symmetry_Int_Tables_number 1
_symmetry_space_group_name_Hall 'P 1'
_cell_length_a 8.026
_cell_length_b 8.028
_cell_length_c 8.179
_cell_angle_alpha 89.83
_cell_angle_beta 89.80
_cell_angle_gamma 89.80
loop_
_atom_site_label
_atom_site_type_symbol
_atom_site_fract_x
_atom_site_fract_y
_atom_site_fract_z
La1 La 0.000 0.000 0.000
La2 La 0.000 0.489 0.998
La3 La 0.004 0.994 0.500
La4 La 0.492 0.994 0.500
La5 La 0.500 0.499 0.998
La6 La 0.500 0.990 0.000
La7 La 0.507 0.495 0.498
La8 La 0.995 0.494 0.498
Ta1 Ta 0.242 0.740 0.748
Ta2 Ta 0.246 0.737 0.247
Ta3 Ta 0.254 0.252 0.749
Ta4 Ta 0.257 0.249 0.250
Ta5 Ta 0.743 0.240 0.747
Ta6 Ta 0.746 0.237 0.248
Ta7 Ta 0.754 0.752 0.751
Ta8 Ta 0.757 0.749 0.250
N1 N 0.002 0.794 0.761
N2 N 0.199 0.492 0.739
N3 N 0.227 0.242 0.999
N4 N 0.241 0.217 0.499
N5 N 0.251 0.771 0.500
N6 N 0.279 0.746 0.000
N7 N 0.300 0.497 0.261
N8 N 0.497 0.195 0.244
N9 N 0.502 0.294 0.754
N10 N 0.700 0.992 0.736
N11 N 0.721 0.744 0.998
N12 N 0.749 0.717 0.498
N13 N 0.758 0.273 0.499
N14 N 0.772 0.246 0.999
N15 N 0.800 0.997 0.260
N16 N 0.997 0.695 0.236
O1 O 0.003 0.173 0.744
O2 O 0.180 0.998 0.240
O3 O 0.320 0.991 0.759
O4 O 0.496 0.815 0.259
O5 O 0.503 0.673 0.738
O6 O 0.680 0.498 0.238
O7 O 0.820 0.491 0.759
O8 O 0.996 0.316 0.254
# DFT total energy in eV per atom: -9.665
# Crystal system: triclinic
# SG: No. 1


(2)
# LaTaN2O | the Open Quantum Materials Database | PBE | optimized geometry
data_LaTaN2O
_chemical_formula_sum 'La2 Ta2 N4 O2'
_symmetry_space_group_name_H-M 'P 1'
_symmetry_Int_Tables_number 1
_symmetry_space_group_name_Hall 'P 1'
_cell_length_a 5.742
_cell_length_b 4.009
_cell_length_c 5.797
_cell_angle_alpha 90.00
_cell_angle_beta 90.00
_cell_angle_gamma 90.00
loop_
_atom_site_label
_atom_site_type_symbol
_atom_site_fract_x
_atom_site_fract_y
_atom_site_fract_z
La1 La 0.250 0.000 0.224
La2 La 0.750 0.000 0.776
Ta1 Ta 0.250 0.500 0.733
Ta2 Ta 0.750 0.500 0.267
N1 N 0.000 0.500 0.500
N2 N 0.250 0.000 0.794
N3 N 0.500 0.500 0.500
N4 N 0.750 0.000 0.206
O1 O 0.000 0.500 0.000
O2 O 0.500 0.500 0.000
# DFT total energy in eV per atom: -9.599
# Crystal system: orthorhombic
# SG: No. 51


(3)
# LaTaN2O | the Open Quantum Materials Database | PBE | optimized geometry
data_LaTaN2O
_chemical_formula_sum 'La4 Ta4 N8 O4'
_symmetry_space_group_name_H-M 'P 1'
_symmetry_Int_Tables_number 1
_symmetry_space_group_name_Hall 'P 1'
_cell_length_a 11.377
_cell_length_b 4.090
_cell_length_c 5.754
_cell_angle_alpha 90.00
_cell_angle_beta 90.00
_cell_angle_gamma 90.00
loop_
_atom_site_label
_atom_site_type_symbol
_atom_site_fract_x
_atom_site_fract_y
_atom_site_fract_z
La1 La 0.000 0.000 0.000
La2 La 0.250 0.000 0.476
La3 La 0.500 0.000 0.000
La4 La 0.750 0.000 0.524
Ta1 Ta 0.000 0.500 0.500
Ta2 Ta 0.250 0.500 0.990
Ta3 Ta 0.500 0.500 0.500
Ta4 Ta 0.750 0.500 0.010
N1 N 0.000 0.000 0.500
N2 N 0.111 0.500 0.789
N3 N 0.250 0.000 0.049
N4 N 0.389 0.500 0.789
N5 N 0.500 0.000 0.500
N6 N 0.611 0.500 0.211
N7 N 0.750 0.000 0.951
N8 N 0.889 0.500 0.211
O1 O 0.139 0.500 0.292
O2 O 0.361 0.500 0.292
O3 O 0.639 0.500 0.708
O4 O 0.861 0.500 0.708
# DFT total energy in eV per atom: -9.605
# Crystal system: orthorhombic
# SG: No. 51


(4)
# LaTaN2O | the Open Quantum Materials Database | PBE | optimized geometry
data_LaTaN2O
_chemical_formula_sum 'La2 Ta2 N4 O2'
_symmetry_space_group_name_H-M 'P 1'
_symmetry_Int_Tables_number 1
_symmetry_space_group_name_Hall 'P 1'
_cell_length_a 5.564
_cell_length_b 5.621
_cell_length_c 6.087
_cell_angle_alpha 62.72
_cell_angle_beta 64.21
_cell_angle_gamma 60.58
loop_
_atom_site_label
_atom_site_type_symbol
_atom_site_fract_x
_atom_site_fract_y
_atom_site_fract_z
La1 La 0.000 0.000 0.000
La2 La 0.265 0.254 0.232
Ta1 Ta 0.488 0.442 0.567
Ta2 Ta 0.770 0.772 0.665
N1 N 0.175 0.613 0.401
N2 N 0.443 0.066 0.838
N3 N 0.624 0.456 0.843
N4 N 0.802 0.196 0.372
O1 O 0.034 0.642 0.869
O2 O 0.606 0.807 0.385
# DFT total energy in eV per atom: -9.512
# Crystal system: triclinic
# SG: No. 1


(5)
# LaTaN2O | the Open Quantum Materials Database | PBE | optimized geometry
data_LaTaN2O
_chemical_formula_sum 'La3 Ta3 N6 O3'
_symmetry_space_group_name_H-M 'P 1'
_symmetry_Int_Tables_number 1
_symmetry_space_group_name_Hall 'P 1'
_cell_length_a 5.743
_cell_length_b 5.743
_cell_length_c 6.981
_cell_angle_alpha 90.00
_cell_angle_beta 90.00
_cell_angle_gamma 120.00
loop_
_atom_site_label
_atom_site_type_symbol
_atom_site_fract_x
_atom_site_fract_y
_atom_site_fract_z
La1 La 0.000 0.681 0.333
La2 La 0.319 0.319 0.000
La3 La 0.681 0.000 0.667
Ta1 Ta 0.000 0.654 0.833
Ta2 Ta 0.346 0.346 0.500
Ta3 Ta 0.654 0.000 0.167
N1 N 0.126 0.500 0.634
N2 N 0.374 0.874 0.967
N3 N 0.500 0.126 0.366
N4 N 0.500 0.626 0.301
N5 N 0.626 0.500 0.699
N6 N 0.874 0.374 0.033
O1 O 0.000 0.114 0.333
O2 O 0.114 0.000 0.667
O3 O 0.886 0.886 0.000
# DFT total energy in eV per atom: -9.645
# Crystal system: trigonal
# SG: No. 154


(6)
# LaTaN2O | the Open Quantum Materials Database | PBE | optimized geometry
data_LaTaN2O
_chemical_formula_sum 'La8 Ta8 N16 O8'
_symmetry_space_group_name_H-M 'P 1'
_symmetry_Int_Tables_number 1
_symmetry_space_group_name_Hall 'P 1'
_cell_length_a 8.011
_cell_length_b 8.191
_cell_length_c 11.302
_cell_angle_alpha 90.00
_cell_angle_beta 134.85
_cell_angle_gamma 90.00
loop_
_atom_site_label
_atom_site_type_symbol
_atom_site_fract_x
_atom_site_fract_y
_atom_site_fract_z
La1 La 0.243 0.001 0.496
La2 La 0.243 0.499 0.996
La3 La 0.245 0.501 0.498
La4 La 0.245 0.999 0.998
La5 La 0.755 0.001 0.002
La6 La 0.755 0.499 0.502
La7 La 0.757 0.501 0.004
La8 La 0.757 0.999 0.504
Ta1 Ta 0.262 0.249 0.254
Ta2 Ta 0.262 0.251 0.754
Ta3 Ta 0.262 0.750 0.258
Ta4 Ta 0.262 0.750 0.758
Ta5 Ta 0.738 0.250 0.242
Ta6 Ta 0.738 0.250 0.742
Ta7 Ta 0.738 0.749 0.246
Ta8 Ta 0.738 0.751 0.746
N1 N 0.216 0.000 0.231
N2 N 0.216 0.500 0.731
N3 N 0.225 0.000 0.740
N4 N 0.225 0.500 0.240
N5 N 0.445 0.745 0.998
N6 N 0.445 0.755 0.498
N7 N 0.446 0.249 0.698
N8 N 0.446 0.251 0.198
N9 N 0.554 0.749 0.802
N10 N 0.554 0.751 0.302
N11 N 0.555 0.245 0.502
N12 N 0.555 0.255 0.002
N13 N 0.775 0.000 0.260
N14 N 0.775 0.500 0.760
N15 N 0.784 0.000 0.769
N16 N 0.784 0.500 0.269
O1 O 0.068 0.746 0.997
O2 O 0.068 0.754 0.497
O3 O 0.069 0.249 0.822
O4 O 0.069 0.251 0.322
O5 O 0.931 0.749 0.678
O6 O 0.931 0.751 0.178
O7 O 0.932 0.246 0.503
O8 O 0.932 0.254 0.003
# DFT total energy in eV per atom: -9.664
# Crystal system: monoclinic
# SG: No. 14